# YPt

A geometry-optimized YPt structure (GGA-PBE, the Alexandria database).

Results
DOS(E_F), states/eV per cell: 3.40
VASP energy, eV/atom: -7.412
ΔH_f (0 K), eV per atom: -1.16

a b c (Å): 5.586 5.586 7.521
angles (deg): 69.94 69.94 39.54
Fractional positions:
Y1 0.634 0.634 0.688
Y2 0.987 0.987 0.393
Y3 0.813 0.813 0.033
Pt1 0.102 0.102 0.993
Pt2 0.360 0.360 0.696
Pt3 0.270 0.270 0.363